A relaxed structure of Ba2CuSe2, computed with GGA-PBE.

Values from the calculation:
The calculation puts the density of states at the Fermi level at 2.87 states/eV/f.u. The total magnetization comes out at 0.00 μB/cell. Its crystal system is tetragonal. For the energy relative to the lowest polymorph listed for this composition, the calculation gives 0 meV per atom.

Lattice parameters (Å, degrees): 6.524 6.524 9.296 90.00 90.00 90.00
Space group I4/mmm (No. 139)
Asymmetric unit:
Ba: 0.000 0.500 0.250 [4 per cell]
Cu: 0.000 0.000 0.000 [2 per cell]
Se: 0.000 0.000 0.248 [4 per cell]

***

A relaxed structure of Ba2CuSe, computed with GGA-PBE.

Values from the calculation:
The calculation puts the density of states at the Fermi level at 2.79 states/eV/f.u. The total magnetization comes out at 0.44 μB/cell. Its crystal system is tetragonal.

Lattice parameters (Å, degrees): 4.730 4.730 6.665 90.00 90.00 90.00
Space group P4/mmm (No. 123)
Asymmetric unit:
Ba: 0.000 0.000 0.000 [1 per cell]
Ba: 0.500 0.500 0.500 [1 per cell]
Cu: 0.000 0.000 0.500 [1 per cell]
Se: 0.500 0.500 0.000 [1 per cell]

***

A relaxed structure of BaCuSe2, computed with GGA-PBE.

Values from the calculation:
The calculation puts the density of states at the Fermi level at 4.23 states/eV/f.u. The total magnetization comes out at 0.00 μB/cell. Its crystal system is cubic.

Lattice parameters (Å, degrees): 7.398 7.398 7.398 90.00 90.00 90.00
Space group F-43m (No. 216)
Asymmetric unit:
Ba: 0.000 0.000 0.000 [4 per cell]
Cu: 0.250 0.250 0.750 [4 per cell]
Se: 0.000 0.000 0.500 [4 per cell]
Se: 0.250 0.250 0.250 [4 per cell]

***

A relaxed structure of BaCu2Se, computed with GGA-PBE.

Values from the calculation:
The calculation puts the density of states at the Fermi level at 1.67 states/eV/f.u. The total magnetization comes out at 0.00 μB/cell. Its crystal system is tetragonal.

Lattice parameters (Å, degrees): 4.404 4.404 5.128 90.00 90.00 90.00
Space group P4/mmm (No. 123)
Asymmetric unit:
Ba: 0.000 0.000 0.000 [1 per cell]
Cu: 0.000 0.500 0.500 [2 per cell]
Se: 0.500 0.500 0.000 [1 per cell]

***

A relaxed structure of BaCuSe2, computed with GGA-PBE.

Values from the calculation:
The calculation puts the density of states at the Fermi level at 3.51 states/eV/f.u. The total magnetization comes out at 0.00 μB/cell. Its crystal system is orthorhombic.

Lattice parameters (Å, degrees): 4.005 5.128 10.378 90.00 90.00 90.00
Space group Imm2 (No. 44)
Asymmetric unit:
Ba: 0.000 0.000 0.000 [2 per cell]
Cu: 0.000 0.500 0.806 [2 per cell]
Se: 0.000 0.000 0.434 [2 per cell]
Se: 0.000 0.500 0.219 [2 per cell]

***

A relaxed structure of BaCu2Se2, computed with GGA-PBE.

Values from the calculation:
The total magnetization comes out at 0.00 μB/cell. Its crystal system is orthorhombic.

Lattice parameters (Å, degrees): 9.650 4.235 10.879 90.00 90.00 90.00
Space group Pnma (No. 62)
Asymmetric unit:
Ba: 0.242 0.250 0.177 [4 per cell]
Cu: 0.057 0.250 0.888 [4 per cell]
Cu: 0.078 0.250 0.457 [4 per cell]
Se: 0.022 0.750 0.331 [4 per cell]
Se: 0.159 0.750 0.961 [4 per cell]

***

A relaxed structure of BaCuSe2, computed with GGA-PBE.

Values from the calculation:
The calculation puts the density of states at the Fermi level at 3.89 states/eV/f.u. The total magnetization comes out at 0.00 μB/cell. Its crystal system is tetragonal.

Lattice parameters (Å, degrees): 4.053 4.053 7.056 90.00 90.00 90.00
Space group P4mm (No. 99)
Asymmetric unit:
Ba: 0.000 0.000 0.000 [1 per cell]
Cu: 0.500 0.500 0.494 [1 per cell]
Se: 0.000 0.000 0.460 [1 per cell]
Se: 0.500 0.500 0.830 [1 per cell]

***

A relaxed structure of BaCu2Se, computed with GGA-PBE.

Values from the calculation:
The calculation puts the density of states at the Fermi level at 1.11 states/eV/f.u. The total magnetization comes out at 0.00 μB/cell. Its crystal system is orthorhombic.

Lattice parameters (Å, degrees): 4.236 6.340 7.657 90.00 90.00 90.00
Space group Imm2 (No. 44)
Asymmetric unit:
Ba: 0.000 0.000 0.000 [2 per cell]
Cu: 0.000 0.000 0.504 [2 per cell]
Cu: 0.000 0.500 0.163 [2 per cell]
Se: 0.000 0.500 0.833 [2 per cell]

***

A relaxed structure of Ba2SmCu2Se4, computed with GGA-PBE.

Values from the calculation:
The calculation puts the density of states at the Fermi level at 4.02 states/eV/f.u. The total magnetization comes out at 0.00 μB/cell. Its crystal system is monoclinic.

Lattice parameters (Å, degrees): 15.551 4.177 7.672 90.00 110.34 90.00
Space group C2/m (No. 12)
Asymmetric unit:
Ba: 0.135 0.000 0.071 [4 per cell]
Sm: 0.000 0.000 0.500 [2 per cell]
Cu: 0.181 0.500 0.491 [4 per cell]
Se: 0.023 0.500 0.250 [4 per cell]
Se: 0.202 0.000 0.688 [4 per cell]

***

A relaxed structure of BaTa3Cu4Se12, computed with GGA-PBE.

Values from the calculation:
The calculation puts the density of states at the Fermi level at 11.54 states/eV/f.u. The total magnetization comes out at 0.00 μB/cell. Its crystal system is trigonal.

Lattice parameters (Å, degrees): 14.2526 14.2526 9.0404 90.00 90.00 120.00
Space group R32 (No. 155, hexagonal axes)
Asymmetric unit:
Ba: 0.0000 0.0000 0.0000 [3 per cell]
Ta: 0.0000 0.5414 0.0000 [9 per cell]
Cu: 0.0000 0.0000 0.5000 [3 per cell]
Cu: 0.0000 0.4513 0.5000 [9 per cell]
Se: 0.0000 0.6165 0.5000 [9 per cell]
Se: 0.0000 0.8345 0.5000 [9 per cell]
Se: 0.0469 0.2172 0.1894 [18 per cell]

***

A relaxed structure of Ba3TaCu2Se6, computed with GGA-PBE.

Values from the calculation:
The calculation puts the density of states at the Fermi level at 3.78 states/eV/f.u. The total magnetization comes out at 0.00 μB/cell. Its crystal system is trigonal.

Lattice parameters (Å, degrees): 7.5564 7.5564 8.1606 90.00 90.00 120.00
Space group P-3m1 (No. 164)
Asymmetric unit:
Ba: 0.0000 0.0000 0.0000 [1 per cell]
Ba: 0.3333 0.6667 0.6521 [2 per cell]
Ta: 0.0000 0.0000 0.5000 [1 per cell]
Cu: 0.3333 0.6667 0.2850 [2 per cell]
Se: 0.1575 0.3149 0.3027 [6 per cell]

***

A relaxed structure of BaTb2CuSe4, computed with GGA-PBE.

Values from the calculation:
The calculation puts the density of states at the Fermi level at 1.68 states/eV/f.u. The total magnetization comes out at 0.00 μB/cell. Its crystal system is orthorhombic.

Lattice parameters (Å, degrees): 4.183 13.985 14.297 90.00 90.00 90.00
Space group Cmcm (No. 63)
Asymmetric unit:
Ba: 0.000 0.117 0.250 [4 per cell]
Tb: 0.000 0.372 0.058 [8 per cell]
Cu: 0.000 0.154 0.750 [4 per cell]
Se: 0.000 0.000 0.000 [4 per cell]
Se: 0.000 0.266 0.615 [8 per cell]
Se: 0.000 0.438 0.250 [4 per cell]

***

A relaxed structure of Ba2TbCu2Se4, computed with GGA-PBE.

Values from the calculation:
The calculation puts the density of states at the Fermi level at 4.09 states/eV/f.u. The total magnetization comes out at 0.00 μB/cell. Its crystal system is monoclinic.

Lattice parameters (Å, degrees): 15.427 4.154 7.645 90.00 110.35 90.00
Space group C2/m (No. 12)
Asymmetric unit:
Ba: 0.135 0.000 0.071 [4 per cell]
Tb: 0.000 0.000 0.500 [2 per cell]
Cu: 0.182 0.500 0.489 [4 per cell]
Se: 0.021 0.500 0.253 [4 per cell]
Se: 0.200 0.000 0.687 [4 per cell]

***

Looking at uncorrected formation energy for the records above, in order, we have -1.1497 -0.8809 -0.2609 -0.0429 -0.5924 -0.8867 -0.6503 -0.3399 -1.2904 -0.4808 -1.0015 -1.6041 -1.2895 eV/atom.